Entry 1:
{
  "formula": "LaZr2Pd2",
  "functional": "PBE",
  "state": "relaxed",
  "cell": [[8.141, 0.000, 0.000], [0.000, 8.141, 0.000], [0.000, 0.000, 3.211]],
  "species": ["Zr", "Zr", "Zr", "Zr", "Pd", "Pd", "Pd", "Pd", "La", "La"],
  "fractional_positions": [[0.348, 0.848, 0.000], [0.848, 0.652, 0.000], [0.652, 0.152, 0.000], [0.152, 0.348, 0.000], [0.140, 0.640, 0.500], [0.640, 0.860, 0.500], [0.860, 0.360, 0.500], [0.360, 0.140, 0.500], [0.000, 0.000, 0.000], [0.500, 0.500, 0.000]],
  "e_above_lowest_polymorph_mev_per_atom": 74,
  "dft_energy_ev_per_cell": -68.7,
  "magmom_total_mub_per_cell": 0.000
}

***

Entry 2:
{
  "formula": "La2ZrPd2",
  "functional": "PBE",
  "state": "relaxed",
  "cell": [[7.549, 0.000, 0.000], [0.000, 7.549, 0.000], [0.000, 0.000, 4.396]],
  "species": ["Zr", "Zr", "Pd", "Pd", "Pd", "Pd", "La", "La", "La", "La"],
  "fractional_positions": [[0.000, 0.000, 0.000], [0.500, 0.500, 0.000], [0.364, 0.864, 0.000], [0.864, 0.636, 0.000], [0.636, 0.136, 0.000], [0.136, 0.364, 0.000], [0.173, 0.673, 0.500], [0.673, 0.827, 0.500], [0.827, 0.327, 0.500], [0.327, 0.173, 0.500]],
  "dft_energy_ev_per_cell": -62.8,
  "magmom_total_mub_per_cell": 0.000
}

***

Entry 3:
{
  "formula": "LaZrPd2",
  "functional": "PBE",
  "state": "relaxed",
  "cell": [[7.685, 0.000, 0.000], [0.000, 7.685, 0.000], [3.843, 3.843, 3.099]],
  "species": ["Zr", "Zr", "Pd", "Pd", "Pd", "Pd", "La", "La"],
  "fractional_positions": [[0.500, 0.500, 0.000], [0.250, 0.750, 0.500], [0.601, 0.125, 0.250], [0.149, 0.625, 0.250], [0.375, 0.399, 0.750], [0.875, 0.851, 0.750], [0.000, 0.000, 0.000], [0.750, 0.250, 0.500]],
  "dft_energy_ev_per_cell": -50.2,
  "magmom_total_mub_per_cell": 0.000
}

***

Entry 4:
{
  "formula": "LaZr2Pd2",
  "functional": "PBE",
  "state": "relaxed",
  "cell": [[-2.124, -1.183, 4.359], [3.651, -3.286, 0.887], [3.408, 1.312, 4.874]],
  "species": ["Zr", "Zr", "Pd", "Pd", "La"],
  "fractional_positions": [[0.351, 0.351, 0.297], [0.649, 0.649, 0.703], [0.750, 0.250, 0.500], [0.250, 0.750, 0.500], [0.000, 0.000, 0.000]],
  "e_above_lowest_polymorph_mev_per_atom": 199,
  "dft_energy_ev_per_cell": -33.7,
  "magmom_total_mub_per_cell": 0.000
}